No. 1
Entry from Alexandria via LeMat-Bulk: an optimized crystal structure of Ac6LaDy3 (PBE).

```
data_Ac6LaDy3
_space_group_name_H-M_alt 'P 1 21/m 1'
_space_group_IT_number 11
_cell_length_a 12.7483
_cell_length_b 3.8152
_cell_length_c 17.0801
_cell_angle_alpha 90.00
_cell_angle_beta 104.04
_cell_angle_gamma 90.00
loop_
_space_group_symop_operation_xyz
'x,y,z'
'-x,-y,-z'
'-x,y+1/2,-z'
'x,-y+1/2,z'
loop_
_atom_site_label
_atom_site_fract_x
_atom_site_fract_y
_atom_site_fract_z
Ac1 0.1078 0.2500 0.3527
Ac2 0.1110 0.7500 0.9588
Ac3 0.1639 0.2500 0.7705
Ac4 0.3444 0.2500 0.1107
Ac5 0.3636 0.7500 0.3156
Ac6 0.3730 0.2500 0.5228
La1 0.1286 0.7500 0.5569
Dy1 0.1124 0.7500 0.1694
Dy2 0.3867 0.7500 0.9277
Dy3 0.3922 0.7500 0.7135
```

Properties
Its density is 8.2 g cm⁻³. The total energy comes out at -4.251 eV/atom. The formation energy is 0.0874 eV per atom.



No. 2
Entry from Alexandria via LeMat-Bulk: an optimized crystal structure of TiH2Au2 (PBE).

```
data_TiH2Au2
_space_group_name_H-M_alt 'P 4/m b m'
_space_group_IT_number 127
_space_group_name_Hall '-P 4 2ab'
_cell_length_a 5.5325
_cell_length_b 5.5325
_cell_length_c 4.0473
_cell_angle_alpha 90.00
_cell_angle_beta 90.00
_cell_angle_gamma 90.00
loop_
_atom_site_label
_atom_site_fract_x
_atom_site_fract_y
_atom_site_fract_z
Ti1 0.0000 0.0000 0.0000
H1 0.1810 0.3190 0.0000
Au1 0.1815 0.3185 0.5000
```

Properties
Its density is 11.9 g cm⁻³. The total energy comes out at -4.315 eV/atom. The energy relative to the lowest polymorph listed for this composition comes out at 0 meV/atom.